1.
Here is LiP2WO8 after structural relaxation from the Alexandria database. Energies are from PBEsol.

Summary:
Raw total energy   -189.4 eV for the cell shown
Energy above the most stable polymorph in this dataset   14 meV per atom
V   285 Å³/cell
Space group   P2_12_12

Unit cell a=5.2987 b=6.8155 c=7.8880 alpha=90.00 beta=90.00 gamma=90.00
Closest atoms and distances in Å follow each position.
Sites, in units of the cell vectors:
W (0.2522, 0.0108, 0.7500)  6 O 1.95-2.00
W (0.7478, 0.5108, 0.2500)  6 O 1.95-2.00
O (0.2522, 0.4827, 0.9461)  1 P 1.48
O (0.0084, 0.3234, 0.1866)  1 P 1.57
O (0.5205, 0.2054, 0.6937)  1 P 1.58
O (0.9915, 0.1982, 0.6867)  1 P 1.57
O (0.7478, 0.9826, 0.0539)  1 P 1.48
O (0.4794, 0.3160, 0.1938)  1 P 1.58
O (0.5206, 0.8160, 0.8062)  1 P 1.58
O (0.7489, 0.6097, 0.0161)  1 P 1.57
O (0.2522, 0.5388, 0.5539)  1 P 1.48
O (0.2511, 0.1097, 0.9839)  1 P 1.57
O (0.2511, 0.9118, 0.5161)  1 P 1.57
O (0.9916, 0.8234, 0.8134)  1 P 1.57
O (0.7478, 0.0388, 0.4461)  1 P 1.48
O (0.0085, 0.6981, 0.3133)  1 P 1.57
O (0.4795, 0.7054, 0.3063)  1 P 1.58
O (0.7489, 0.4118, 0.4839)  1 P 1.57
Li (0.4264, 0.5109, 0.7500)  2 O 1.81
Li (0.5736, 0.0109, 0.2500)  2 O 1.81
P (0.7541, 0.8186, 0.9314)  4 O 1.48-1.58
P (0.2459, 0.7029, 0.4314)  4 O 1.48-1.58
P (0.2459, 0.3186, 0.0686)  4 O 1.48-1.58
P (0.7541, 0.2029, 0.5685)  4 O 1.48-1.58



2.
Here is LiP4WO12 after structural relaxation from the Alexandria database. Energies are from PBEsol.

Summary:
Raw total energy   -551.4 eV for the cell shown
Energy above the most stable polymorph in this dataset   15 meV per atom
V   947 Å³/cell
Space group   P2_1/c

Unit cell a=7.7783 b=9.4240 c=12.9180 alpha=90.00 beta=90.00 gamma=89.20
Closest atoms and distances in Å follow each position.
Sites, in units of the cell vectors:
O (0.0520, 0.8651, 0.7143)  1 P 1.51
O (0.6451, 0.8185, 0.1330)  2 P 1.60-1.61
O (0.6295, 0.6335, 0.4107)  1 P 1.51
O (0.3406, 0.8817, 0.1555)  1 P 1.50
O (0.8583, 0.6665, 0.0358)  2 P 1.59-1.62
O (0.3733, 0.8771, 0.8811)  1 P 1.48
O (0.3705, 0.3665, 0.5893)  1 P 1.51
O (0.0744, 0.3941, 0.1499)  1 P 1.48
O (0.3549, 0.1815, 0.8670)  2 P 1.60-1.61
O (0.9313, 0.1923, 0.4752)  2 P 1.58-1.62
O (0.9256, 0.6059, 0.8501)  1 P 1.48
O (0.6490, 0.3931, 0.1459)  1 P 1.50
O (0.5687, 0.3077, 0.9752)  2 P 1.58-1.62
O (0.3583, 0.1665, 0.4642)  2 P 1.59-1.62
O (0.4480, 0.6349, 0.2143)  1 P 1.51
O (0.8510, 0.1069, 0.6459)  1 P 1.50
O (0.6374, 0.2352, 0.5312)  2 P 1.60
O (0.3626, 0.7648, 0.4688)  2 P 1.60
O (0.8307, 0.6350, 0.2257)  1 P 1.51
O (0.5744, 0.8941, 0.3501)  1 P 1.48
O (0.5520, 0.3651, 0.7857)  1 P 1.51
O (0.1295, 0.1335, 0.0893)  1 P 1.51
O (0.4581, 0.3640, 0.3445)  1 P 1.48
O (0.6417, 0.8335, 0.5358)  2 P 1.59-1.62
O (0.8705, 0.8665, 0.9107)  1 P 1.51
O (0.0419, 0.1360, 0.8445)  1 P 1.48
O (0.4313, 0.6923, 0.0248)  2 P 1.58-1.62
O (0.1490, 0.8931, 0.3541)  1 P 1.50
O (0.1374, 0.7352, 0.9688)  2 P 1.60
O (0.4256, 0.1059, 0.6499)  1 P 1.48
O (0.0687, 0.8077, 0.5248)  2 P 1.58-1.62
O (0.1451, 0.3185, 0.3670)  2 P 1.60-1.61
O (0.3510, 0.6069, 0.8541)  1 P 1.50
O (0.1267, 0.6229, 0.3811)  1 P 1.48
O (0.8626, 0.2648, 0.0312)  2 P 1.60
O (0.8549, 0.6815, 0.6330)  2 P 1.60-1.61
O (0.1594, 0.6183, 0.6555)  1 P 1.50
O (0.3307, 0.1350, 0.2743)  1 P 1.51
O (0.6693, 0.8650, 0.7257)  1 P 1.51
O (0.9581, 0.8640, 0.1555)  1 P 1.48
O (0.6267, 0.1229, 0.1189)  1 P 1.48
O (0.6594, 0.1183, 0.8445)  1 P 1.50
O (0.9480, 0.1349, 0.2857)  1 P 1.51
O (0.8733, 0.3771, 0.6189)  1 P 1.48
O (0.1417, 0.3335, 0.9642)  2 P 1.59-1.62
O (0.8406, 0.3817, 0.3445)  1 P 1.50
O (0.5419, 0.6360, 0.6555)  1 P 1.48
O (0.1693, 0.3650, 0.7743)  1 P 1.51
P (0.1673, 0.2519, 0.8575)  4 O 1.48-1.60
P (0.0562, 0.2807, 0.0715)  4 O 1.48-1.62
P (0.6733, 0.2642, 0.0795)  4 O 1.48-1.62
P (0.4542, 0.7545, 0.1371)  4 O 1.50-1.61
P (0.3267, 0.7358, 0.9205)  4 O 1.48-1.62
P (0.6673, 0.7519, 0.6425)  4 O 1.48-1.60
P (0.5458, 0.2455, 0.8629)  4 O 1.50-1.61
P (0.8267, 0.2358, 0.5795)  4 O 1.48-1.62
P (0.4438, 0.2193, 0.5715)  4 O 1.48-1.62
P (0.9542, 0.2545, 0.3629)  4 O 1.50-1.61
P (0.1733, 0.7642, 0.4205)  4 O 1.48-1.62
P (0.9438, 0.7193, 0.9285)  4 O 1.48-1.62
P (0.8327, 0.7481, 0.1425)  4 O 1.48-1.60
P (0.0458, 0.7455, 0.6371)  4 O 1.50-1.61
P (0.3327, 0.2481, 0.3575)  4 O 1.48-1.60
P (0.5562, 0.7807, 0.4285)  4 O 1.48-1.62
Li (0.0423, 0.5181, 0.2684)  3 O 1.88-2.04
Li (0.5423, 0.0181, 0.2316)  3 O 1.88-2.04
Li (0.4577, 0.9819, 0.7684)  3 O 1.88-2.04
Li (0.9577, 0.4819, 0.7316)  3 O 1.88-2.04
W (0.8639, 0.9973, 0.7822)  6 O 2.04-2.10
W (0.3639, 0.4973, 0.7178)  6 O 2.04-2.10
W (0.1361, 0.0027, 0.2178)  6 O 2.04-2.10
W (0.6361, 0.5027, 0.2822)  6 O 2.04-2.10



3.
Here is Li2P5WO15 after structural relaxation from the Alexandria database. Energies are from PBEsol.

Summary:
Raw total energy   -345.3 eV for the cell shown
Energy above the most stable polymorph in this dataset   0 meV per atom
V   611 Å³/cell
Space group   P2_1/m

Unit cell a=5.2620 b=8.8143 c=13.6289 alpha=90.00 beta=90.00 gamma=104.70
Closest atoms and distances in Å follow each position.
Sites, in units of the cell vectors:
Li (0.2159, 0.1099, 0.1440)  3 O 1.89-1.98
Li (0.7841, 0.8901, 0.8560)  3 O 1.89-1.98
Li (0.7841, 0.8901, 0.6440)  3 O 1.89-1.98
Li (0.2159, 0.1099, 0.3560)  3 O 1.89-1.98
P (0.6229, 0.1775, 0.9173)  4 O 1.48-1.62
P (0.6229, 0.1775, 0.5827)  4 O 1.48-1.62
P (0.0108, 0.5171, 0.3576)  4 O 1.50-1.59
P (0.6632, 0.9998, 0.2500)  4 O 1.50-1.61
P (0.0108, 0.5171, 0.1424)  4 O 1.50-1.59
P (0.9892, 0.4829, 0.6424)  4 O 1.50-1.59
P (0.3771, 0.8225, 0.0827)  4 O 1.48-1.62
P (0.9892, 0.4829, 0.8576)  4 O 1.50-1.59
P (0.3368, 0.0002, 0.7500)  4 O 1.50-1.61
P (0.3771, 0.8225, 0.4173)  4 O 1.48-1.62
O (0.1732, 0.6943, 0.3509)  2 P 1.58-1.62
O (0.2495, 0.9485, 0.4430)  1 P 1.48
O (0.8268, 0.3057, 0.8509)  2 P 1.58-1.62
O (0.7248, 0.5079, 0.1270)  1 P 1.50
O (0.0506, 0.9186, 0.7500)  1 P 1.50
O (0.4777, 0.7336, 0.4973)  1 P 1.51
O (0.0452, 0.4547, 0.2500)  2 P 1.59
O (0.8268, 0.3057, 0.6491)  2 P 1.58-1.62
O (0.9548, 0.5453, 0.7500)  2 P 1.59
O (0.2752, 0.4921, 0.8730)  1 P 1.50
O (0.8584, 0.5763, 0.9252)  1 P 1.51
O (0.3844, 0.1205, 0.6586)  2 P 1.61
O (0.7248, 0.5079, 0.3730)  1 P 1.50
O (0.2495, 0.9485, 0.0570)  1 P 1.48
O (0.3844, 0.1205, 0.8414)  2 P 1.61
O (0.5223, 0.2664, 0.5027)  1 P 1.51
O (0.1416, 0.4237, 0.0748)  1 P 1.51
O (0.6156, 0.8795, 0.1586)  2 P 1.61
O (0.1416, 0.4237, 0.4252)  1 P 1.51
O (0.5223, 0.2664, 0.9973)  1 P 1.51
O (0.4637, 0.0945, 0.2500)  1 P 1.50
O (0.4777, 0.7336, 0.0027)  1 P 1.51
O (0.1732, 0.6943, 0.1491)  2 P 1.58-1.62
O (0.8584, 0.5763, 0.5748)  1 P 1.51
O (0.7505, 0.0515, 0.9430)  1 P 1.48
O (0.9494, 0.0814, 0.2500)  1 P 1.50
O (0.5363, 0.9055, 0.7500)  1 P 1.50
O (0.2752, 0.4921, 0.6270)  1 P 1.50
O (0.7505, 0.0515, 0.5570)  1 P 1.48
O (0.6156, 0.8795, 0.3414)  2 P 1.61
W (0.5000, 0.5000, 0.0000)  6 O 2.09-2.10
W (0.5000, 0.5000, 0.5000)  6 O 2.09-2.10



4.
Here is LiP4WO12 after structural relaxation from the Alexandria database. Energies are from PBEsol.

Summary:
Raw total energy   -550.0 eV for the cell shown
Energy above the most stable polymorph in this dataset   34 meV per atom
V   969 Å³/cell
Space group   C222_1

Unit cell a=7.2680 b=7.2680 c=18.7172 alpha=90.00 beta=90.00 gamma=101.49
Closest atoms and distances in Å follow each position.
Sites, in units of the cell vectors:
O (0.1708, 0.2323, 0.2600)  1 P 1.47
O (0.2911, 0.3376, 0.5692)  1 P 1.52
O (0.7894, 0.2645, 0.0810)  1 P 1.50
O (0.1362, 0.2331, 0.8677)  2 P 1.59-1.61
O (0.6624, 0.7089, 0.9308)  1 P 1.52
O (0.8405, 0.5530, 0.6490)  1 P 1.50
O (0.5753, 0.1103, 0.6667)  1 P 1.48
O (0.8638, 0.7669, 0.3677)  2 P 1.59-1.61
O (0.0917, 0.7190, 0.4552)  2 P 1.58-1.63
O (0.2645, 0.7894, 0.9190)  1 P 1.50
O (0.8036, 0.4299, 0.2118)  1 P 1.50
O (0.3857, 0.9528, 0.4852)  1 P 1.50
O (0.8897, 0.4247, 0.8333)  1 P 1.48
O (0.3376, 0.2911, 0.4308)  1 P 1.52
O (0.1964, 0.5701, 0.7118)  1 P 1.50
O (0.4247, 0.8897, 0.1667)  1 P 1.48
O (0.2331, 0.1362, 0.1323)  2 P 1.59-1.61
O (0.6035, 0.5375, 0.3087)  2 P 1.60-1.62
O (0.9528, 0.3857, 0.5148)  1 P 1.50
O (0.6143, 0.0472, 0.9852)  1 P 1.50
O (0.4625, 0.3965, 0.1913)  2 P 1.60-1.62
O (0.7677, 0.8292, 0.2400)  1 P 1.47
O (0.7669, 0.8638, 0.6323)  2 P 1.59-1.61
O (0.7089, 0.6624, 0.0692)  1 P 1.52
O (0.7190, 0.0917, 0.5448)  2 P 1.58-1.63
O (0.3971, 0.6108, 0.4837)  2 P 1.59-1.62
O (0.0617, 0.8039, 0.1480)  1 P 1.51
O (0.5701, 0.1964, 0.2882)  1 P 1.50
O (0.5375, 0.6035, 0.6913)  2 P 1.60-1.62
O (0.8292, 0.7677, 0.7600)  1 P 1.47
O (0.2106, 0.7355, 0.5810)  1 P 1.50
O (0.8039, 0.0617, 0.8520)  1 P 1.51
O (0.1595, 0.4470, 0.1490)  1 P 1.50
O (0.6029, 0.3892, 0.9837)  2 P 1.59-1.62
O (0.4299, 0.8036, 0.7882)  1 P 1.50
O (0.4470, 0.1595, 0.8510)  1 P 1.50
O (0.3892, 0.6029, 0.0163)  2 P 1.59-1.62
O (0.3965, 0.4625, 0.8087)  2 P 1.60-1.62
O (0.9383, 0.1961, 0.6480)  1 P 1.51
O (0.5530, 0.8405, 0.3510)  1 P 1.50
O (0.6108, 0.3971, 0.5163)  2 P 1.59-1.62
O (0.7355, 0.2106, 0.4190)  1 P 1.50
O (0.2810, 0.9083, 0.0448)  2 P 1.58-1.63
O (0.2323, 0.1708, 0.7400)  1 P 1.47
O (0.0472, 0.6143, 0.0148)  1 P 1.50
O (0.1103, 0.5753, 0.3333)  1 P 1.48
O (0.1961, 0.9383, 0.3520)  1 P 1.51
O (0.9083, 0.2810, 0.9552)  2 P 1.58-1.63
P (0.6970, 0.7591, 0.3108)  4 O 1.47-1.62
P (0.9219, 0.2525, 0.8689)  4 O 1.48-1.63
P (0.2714, 0.7637, 0.5043)  4 O 1.50-1.62
P (0.3808, 0.6192, 0.7500)  4 O 1.50-1.60
P (0.6039, 0.6039, 0.0000)  4 O 1.52-1.59
P (0.2525, 0.9219, 0.1311)  4 O 1.48-1.63
P (0.2409, 0.3030, 0.1892)  4 O 1.47-1.62
P (0.2363, 0.7286, 0.9957)  4 O 1.50-1.62
P (0.3961, 0.3961, 0.5000)  4 O 1.52-1.59
P (0.6192, 0.3808, 0.2500)  4 O 1.50-1.60
P (0.0781, 0.7475, 0.3689)  4 O 1.48-1.63
P (0.7286, 0.2363, 0.0043)  4 O 1.50-1.62
P (0.7637, 0.2714, 0.4957)  4 O 1.50-1.62
P (0.3030, 0.2409, 0.8108)  4 O 1.47-1.62
P (0.7475, 0.0781, 0.6311)  4 O 1.48-1.63
P (0.7591, 0.6970, 0.6892)  4 O 1.47-1.62
W (0.9267, 0.5369, 0.1158)  6 O 2.03-2.16
W (0.0733, 0.4631, 0.6158)  6 O 2.03-2.16
W (0.4631, 0.0733, 0.3842)  6 O 2.03-2.16
W (0.5369, 0.9267, 0.8842)  6 O 2.03-2.16
Li (0.8573, 0.6685, 0.8486)  2 O 1.84-1.86
Li (0.3315, 0.1427, 0.6514)  2 O 1.84-1.86
Li (0.1427, 0.3315, 0.3486)  2 O 1.84-1.86
Li (0.6685, 0.8573, 0.1514)  2 O 1.84-1.86



| no. | total magnetic moment (μB/atom) |
| --- | --- |
| 1 | 0.084 |
| 2 | 0.167 |
| 3 | 0.130 |
| 4 | 0.167 |